(1)
VASP calculation (PBE) on a relaxed Nb2SeI crystal.

a = 4.7392 Å, b = 4.7392 Å, c = 4.7392 Å
α = 60.00°, β = 60.00°, γ = 60.00°
Fractional coordinates of all 4 atoms:
Nb: 0.2500 0.2500 0.2500
Nb: 0.7500 0.7500 0.7500
Se: 0.0000 0.0000 0.0000
I: 0.5000 0.5000 0.5000

Offset from the most stable computed form in eV/f.u.: 0.00
VASP energy in eV per atom: -6.101

(2)
VASP calculation (PBE) on a relaxed PmCd2Ag crystal.

a = 5.0895 Å, b = 5.0895 Å, c = 5.0895 Å
α = 120.48°, β = 120.48°, γ = 89.17°
Fractional coordinates of all 4 atoms:
Pm: 0.0000 0.0000 0.0000
Cd: 0.2500 0.7500 0.5000
Cd: 0.5000 0.5000 0.0000
Ag: 0.7500 0.2500 0.5000

Offset from the most stable computed form in eV/f.u.: 0.00
Energy relative to the elements in meV/atom: -304
VASP energy in eV per atom: -2.662

(3)
VASP calculation (PBE) on a relaxed AgPd3Pt crystal.

a = 2.7801 Å, b = 8.9694 Å, c = 7.3385 Å
α = 90.00°, β = 100.86°, γ = 90.00°
Fractional coordinates of all 10 atoms:
Ag: 0.0385 0.2500 0.0778
Ag: 0.9615 0.7500 0.9222
Pd: 0.1622 0.0016 0.3232
Pd: 0.1622 0.4984 0.3232
Pd: 0.3749 0.2500 0.7519
Pd: 0.6251 0.7500 0.2481
Pd: 0.8378 0.5016 0.6768
Pd: 0.8378 0.9984 0.6768
Pt: 0.2885 0.7500 0.5770
Pt: 0.7115 0.2500 0.4230

Offset from the most stable computed form in eV/f.u.: 0.87
Energy relative to the elements in meV/atom: 185
VASP energy in eV per atom: -4.709

(4)
VASP calculation (PBE) on a relaxed Nd5Dy8Mg crystal.

a = 8.4699 Å, b = 8.4699 Å, c = 8.4699 Å
α = 110.42°, β = 110.42°, γ = 107.60°
Fractional coordinates of all 14 atoms:
Nd: 0.0000 0.0000 0.0000
Nd: 0.2076 0.3165 0.6842
Nd: 0.4766 0.7924 0.1089
Nd: 0.6323 0.5234 0.3158
Nd: 0.6835 0.3677 0.8911
Dy: 0.1587 0.4298 0.0975
Dy: 0.3323 0.0612 0.9025
Dy: 0.4199 0.1618 0.3967
Dy: 0.5702 0.6677 0.7289
Dy: 0.7651 0.0232 0.6033
Dy: 0.8382 0.2349 0.2581
Dy: 0.9388 0.8413 0.2711
Dy: 0.9768 0.5801 0.7419
Mg: 0.2500 0.7500 0.5000

Energy relative to the elements in meV/atom: 223
VASP energy in eV per atom: -4.224

(5)
VASP calculation (PBE) on a relaxed ZrScIn2 crystal.

a = 5.8917 Å, b = 5.8917 Å, c = 5.8917 Å
α = 140.62°, β = 134.60°, γ = 61.64°
Fractional coordinates of all 4 atoms:
Zr: 0.0000 0.0000 0.0000
Sc: 0.2515 0.7515 0.5000
In: 0.5086 0.5086 0.0000
In: 0.7423 0.2423 0.5000

Offset from the most stable computed form in eV/f.u.: 0.19
Energy relative to the elements in meV/atom: -324
VASP energy in eV per atom: -5.413

(6)
VASP calculation (PBE) on a relaxed In4AgRh5 crystal.

a = 3.2326 Å, b = 3.2326 Å, c = 16.0454 Å
α = 90.00°, β = 90.00°, γ = 90.00°
Fractional coordinates of all 10 atoms:
In: 0.0000 0.0000 0.1016
In: 0.0000 0.0000 0.3053
In: 0.0000 0.0000 0.6947
In: 0.0000 0.0000 0.8984
Ag: 0.0000 0.0000 0.5000
Rh: 0.5000 0.5000 0.0000
Rh: 0.5000 0.5000 0.1997
Rh: 0.5000 0.5000 0.3971
Rh: 0.5000 0.5000 0.6029
Rh: 0.5000 0.5000 0.8003

Energy relative to the elements in meV/atom: -295
VASP energy in eV per atom: -5.351

(7)
VASP calculation (PBE) on a relaxed HfTaSb2Te crystal.

a = 5.3367 Å, b = 5.3367 Å, c = 5.3277 Å
α = 90.00°, β = 90.00°, γ = 90.00°
Fractional coordinates of all 5 atoms:
Hf: 0.0000 0.0000 0.0000
Ta: 0.5000 0.5000 0.5000
Sb: 0.0000 0.5000 0.5000
Sb: 0.5000 0.0000 0.5000
Te: 0.5000 0.5000 0.0000

Offset from the most stable computed form in eV/f.u.: 0.00
VASP energy in eV per atom: -5.825

(8)
VASP calculation (PBE) on a relaxed Zn2Bi2Te crystal.

a = 9.1153 Å, b = 9.1153 Å, c = 3.3353 Å
α = 90.00°, β = 90.00°, γ = 90.00°
Fractional coordinates of all 10 atoms:
Zn: 0.0949 0.4051 0.0000
Zn: 0.4051 0.9051 0.0000
Zn: 0.5949 0.0949 0.0000
Zn: 0.9051 0.5949 0.0000
Bi: 0.2178 0.7178 0.5000
Bi: 0.2822 0.2178 0.5000
Bi: 0.7178 0.7822 0.5000
Bi: 0.7822 0.2822 0.5000
Te: 0.0000 0.0000 0.5000
Te: 0.5000 0.5000 0.5000

Offset from the most stable computed form in eV/f.u.: 0.12
VASP energy in eV per atom: -2.562

(9)
VASP calculation (PBE) on a relaxed Ba2NiIN crystal.

a = 5.9498 Å, b = 5.9498 Å, c = 3.7180 Å
α = 90.00°, β = 90.00°, γ = 90.00°
Fractional coordinates of all 5 atoms:
Ba: 0.0000 0.5000 0.0000
Ba: 0.5000 0.0000 0.0000
Ni: 0.0000 0.0000 0.5000
I: 0.5000 0.5000 0.5000
N: 0.0000 0.0000 0.0000

VASP energy in eV per atom: -4.600

(10)
VASP calculation (PBE) on a relaxed Pu2Th2Ge4Pt crystal.

a = 6.5692 Å, b = 6.5692 Å, c = 6.5692 Å
α = 114.32°, β = 114.32°, γ = 100.16°
Fractional coordinates of all 9 atoms:
Pu: 0.1714 0.1714 0.0000
Pu: 0.8286 0.8286 0.0000
Th: 0.2500 0.7500 0.5000
Th: 0.7500 0.2500 0.5000
Ge: 0.2535 0.2535 0.5070
Ge: 0.2535 0.7465 0.0000
Ge: 0.7465 0.2535 0.0000
Ge: 0.7465 0.7465 0.4930
Pt: 0.5000 0.5000 0.0000

Energy relative to the elements in meV/atom: -404
VASP energy in eV per atom: -7.961

(11)
VASP calculation (PBE) on a relaxed AlIn2Pt crystal.

a = 6.7833 Å, b = 6.7833 Å, c = 6.7833 Å
α = 154.75°, β = 140.05°, γ = 47.85°
Fractional coordinates of all 4 atoms:
Al: 0.0000 0.0000 0.0000
In: 0.2884 0.7884 0.5000
In: 0.6034 0.6034 0.0000
Pt: 0.8327 0.3327 0.5000

Energy relative to the elements in meV/atom: -224
VASP energy in eV per atom: -4.039

(12)
VASP calculation (PBE) on a relaxed Al2FeNi crystal.

a = 4.7175 Å, b = 4.7175 Å, c = 4.2501 Å
α = 107.46°, β = 107.46°, γ = 33.40°
Fractional coordinates of all 4 atoms:
Al: 0.0000 0.0000 0.0000
Al: 0.2339 0.2339 0.6187
Fe: 0.7448 0.7448 0.1233
Ni: 0.4915 0.4915 0.4974

Energy relative to the elements in meV/atom: -402
VASP energy in eV per atom: -5.835

(13)
VASP calculation (PBE) on a relaxed Mn2SiIrS crystal.

a = 4.6966 Å, b = 4.6966 Å, c = 5.2509 Å
α = 95.61°, β = 95.61°, γ = 35.01°
Fractional coordinates of all 5 atoms:
Mn: 0.0000 0.0000 0.0000
Mn: 0.5851 0.5851 0.6564
Si: 0.2890 0.2890 0.8458
Ir: 0.8599 0.8599 0.4910
S: 0.6224 0.6224 0.2567

Offset from the most stable computed form in eV/f.u.: 0.76
VASP energy in eV per atom: -7.486

(14)
VASP calculation (PBE) on a relaxed Ac2Zn3In2 crystal.

a = 7.9938 Å, b = 7.9938 Å, c = 7.9938 Å
α = 109.47°, β = 109.47°, γ = 109.47°
Fractional coordinates of all 14 atoms:
Ac: 0.0000 0.9805 0.5000
Ac: 0.5000 0.0000 0.9805
Ac: 0.5195 0.5195 0.5195
Ac: 0.9805 0.5000 0.0000
Zn: 0.0272 0.2500 0.2772
Zn: 0.2228 0.4728 0.7500
Zn: 0.2500 0.2772 0.0272
Zn: 0.2772 0.0272 0.2500
Zn: 0.4728 0.7500 0.2228
Zn: 0.7500 0.2228 0.4728
In: 0.0000 0.5707 0.5000
In: 0.5000 0.0000 0.5707
In: 0.5707 0.5000 0.0000
In: 0.9293 0.9293 0.9293

Offset from the most stable computed form in eV/f.u.: 1.13
Energy relative to the elements in meV/atom: -179
VASP energy in eV per atom: -2.681

(15)
VASP calculation (PBE) on a relaxed LiDyNi2 crystal.

a = 4.0574 Å, b = 4.0574 Å, c = 3.7494 Å
α = 90.00°, β = 90.00°, γ = 90.00°
Fractional coordinates of all 4 atoms:
Li: 0.0000 0.0000 0.0000
Dy: 0.5000 0.5000 0.0000
Ni: 0.0000 0.5000 0.5000
Ni: 0.5000 0.0000 0.5000

Offset from the most stable computed form in eV/f.u.: 0.11
Energy relative to the elements in meV/atom: -145
VASP energy in eV per atom: -4.665

(16)
VASP calculation (PBE) on a relaxed Sm3SeCl7 crystal.

a = 8.3381 Å, b = 8.3381 Å, c = 6.8171 Å
α = 90.00°, β = 90.00°, γ = 120.00°
Fractional coordinates of all 11 atoms:
Sm: 0.1716 0.3432 0.0000
Sm: 0.1716 0.8284 0.0000
Sm: 0.6568 0.8284 0.0000
Se: 0.3333 0.6667 0.2347
Cl: 0.0000 0.0000 0.7764
Cl: 0.0244 0.5122 0.7814
Cl: 0.3082 0.1541 0.1994
Cl: 0.4878 0.5122 0.7814
Cl: 0.4878 0.9756 0.7814
Cl: 0.8459 0.1541 0.1994
Cl: 0.8459 0.6918 0.1994

VASP energy in eV per atom: -4.955

(17)
VASP calculation (PBE) on a relaxed K2ErBe2S4 crystal.

a = 7.4753 Å, b = 7.4753 Å, c = 7.7607 Å
α = 110.72°, β = 110.72°, γ = 28.38°
Fractional coordinates of all 9 atoms:
K: 0.1280 0.1280 0.0462
K: 0.8720 0.8720 0.9538
Er: 0.0000 0.0000 0.5000
Be: 0.3296 0.3296 0.5201
Be: 0.6704 0.6704 0.4799
S: 0.2058 0.2058 0.6437
S: 0.4668 0.4668 0.7329
S: 0.5332 0.5332 0.2671
S: 0.7942 0.7942 0.3563

VASP energy in eV per atom: -4.622

(18)
VASP calculation (PBE) on a relaxed AlCo3S crystal.

a = 4.3157 Å, b = 4.3157 Å, c = 4.3157 Å
α = 90.00°, β = 90.00°, γ = 90.00°
Fractional coordinates of all 5 atoms:
Al: 0.0000 0.0000 0.0000
Co: 0.0000 0.0000 0.5000
Co: 0.0000 0.5000 0.0000
Co: 0.5000 0.0000 0.0000
S: 0.5000 0.5000 0.5000

Offset from the most stable computed form in eV/f.u.: 5.29
VASP energy in eV per atom: -4.681

(19)
VASP calculation (PBE) on a relaxed SrEr2 crystal.

a = 6.8811 Å, b = 6.8811 Å, c = 6.8811 Å
α = 60.00°, β = 60.00°, γ = 60.00°
Fractional coordinates of all 6 atoms:
Sr: 0.1250 0.1250 0.1250
Sr: 0.8750 0.8750 0.8750
Er: 0.0000 0.5000 0.5000
Er: 0.5000 0.0000 0.5000
Er: 0.5000 0.5000 0.0000
Er: 0.5000 0.5000 0.5000

Offset from the most stable computed form in eV/f.u.: 0.28
Energy relative to the elements in meV/atom: 245
VASP energy in eV per atom: -3.357

(20)
VASP calculation (PBE) on a relaxed MoRu2S crystal.

a = 6.5710 Å, b = 6.5710 Å, c = 6.5710 Å
α = 131.46°, β = 131.46°, γ = 71.08°
Fractional coordinates of all 8 atoms:
Mo: 0.0000 0.0000 0.0000
Mo: 0.7500 0.2500 0.5000
Ru: 0.1539 0.6250 0.0289
Ru: 0.3750 0.4039 0.5289
Ru: 0.5961 0.1250 0.9711
Ru: 0.8750 0.8461 0.4711
S: 0.2500 0.7500 0.5000
S: 0.5000 0.5000 0.0000

VASP energy in eV per atom: -7.944